A geometry-optimized NaCaH3 structure. Source: Alexandria via LeMat-Bulk, functional GGA-PBE.

Structure (CIF):
```
data_NaCaH3
_chemical_formula_sum 'Na2 Ca2 H6'
_cell_length_a 4.949
_cell_length_b 4.245
_cell_length_c 6.667
_cell_angle_alpha 90.00
_cell_angle_beta 90.00
_cell_angle_gamma 90.00
_space_group_name_H-M_alt 'P m m a'
_space_group_IT_number 51
loop_
_space_group_symop_operation_xyz
'x,y,z'
'-x,-y,-z'
'-x+1/2,-y,z'
'x+1/2,y,-z'
'x+1/2,-y,-z'
'-x+1/2,y,z'
'-x,y,-z'
'x,-y,z'
loop_
_atom_site_label
_atom_site_fract_x
_atom_site_fract_y
_atom_site_fract_z
Na1 0.250 0.000 0.138
Ca1 0.250 0.500 0.719
H1 0.000 0.500 0.000
H2 0.250 0.000 0.785
H3 0.250 0.500 0.375
```

Results
ΔE to the lowest computed polymorph: 42 meV/atom
V: 14.0 Å³ per atom


A geometry-optimized NaCaH3 structure. Source: Alexandria via LeMat-Bulk, functional GGA-PBE.

Structure (CIF):
```
data_NaCaH3
_chemical_formula_sum 'Na6 Ca6 H18'
_cell_length_a 5.8193
_cell_length_b 5.8193
_cell_length_c 15.1161
_cell_angle_alpha 90.00
_cell_angle_beta 90.00
_cell_angle_gamma 120.00
_space_group_name_H-M_alt 'R 3 c'
_space_group_IT_number 161
_space_group_name_Hall 'R 3 -2"c'
loop_
_atom_site_label
_atom_site_fract_x
_atom_site_fract_y
_atom_site_fract_z
Na1 0.0000 0.0000 0.0000
Ca1 0.0000 0.0000 0.2802
H1 0.0122 0.2940 0.3837
```

Results
ΔE to the lowest computed polymorph: 6 meV/atom
V: 14.8 Å³ per atom


A geometry-optimized NaCaH3 structure. Source: Alexandria via LeMat-Bulk, functional GGA-PBE.

Structure (CIF):
```
data_NaCaH3
_chemical_formula_sum 'Na1 Ca1 H3'
_cell_length_a 3.972
_cell_length_b 3.972
_cell_length_c 3.972
_cell_angle_alpha 90.00
_cell_angle_beta 90.00
_cell_angle_gamma 90.00
_space_group_name_H-M_alt 'P m -3 m'
_space_group_IT_number 221
_space_group_name_Hall '-P 4 2 3'
loop_
_atom_site_label
_atom_site_fract_x
_atom_site_fract_y
_atom_site_fract_z
Na1 0.000 0.000 0.000
Ca1 0.500 0.500 0.500
H1 0.000 0.000 0.500
```

Results
ΔE to the lowest computed polymorph: 209 meV/atom
V: 12.5 Å³ per atom


A geometry-optimized Na5Ca3H12 structure. Source: Alexandria via LeMat-Bulk, functional GGA-PBE.

Structure (CIF):
```
data_Na5Ca3H12
_chemical_formula_sum 'Na40 Ca24 H96'
_cell_length_a 13.125
_cell_length_b 13.125
_cell_length_c 13.125
_cell_angle_alpha 90.00
_cell_angle_beta 90.00
_cell_angle_gamma 90.00
_space_group_name_H-M_alt 'I a -3 d'
_space_group_IT_number 230
_space_group_name_Hall '-I 4bd 2c 3'
loop_
_atom_site_label
_atom_site_fract_x
_atom_site_fract_y
_atom_site_fract_z
Na1 0.000 0.000 0.000
Na2 0.000 0.250 0.375
Ca1 0.000 0.250 0.125
H1 0.015 0.072 0.657
```

Results
V: 14.1 Å³ per atom


A geometry-optimized Na3Ca5H12 structure. Source: Alexandria via LeMat-Bulk, functional GGA-PBE.

Structure (CIF):
```
data_Na3Ca5H12
_chemical_formula_sum 'Na24 Ca40 H96'
_cell_length_a 13.959
_cell_length_b 13.959
_cell_length_c 13.959
_cell_angle_alpha 90.00
_cell_angle_beta 90.00
_cell_angle_gamma 90.00
_space_group_name_H-M_alt 'I a -3 d'
_space_group_IT_number 230
_space_group_name_Hall '-I 4bd 2c 3'
loop_
_atom_site_label
_atom_site_fract_x
_atom_site_fract_y
_atom_site_fract_z
Na1 0.000 0.250 0.125
Ca1 0.000 0.000 0.000
Ca2 0.000 0.250 0.375
H1 0.022 0.053 0.650
```

Results
V: 17.0 Å³ per atom


A geometry-optimized NaCaH structure. Source: Alexandria via LeMat-Bulk, functional GGA-PBE.

Structure (CIF):
```
data_NaCaH
_chemical_formula_sum 'Na2 Ca2 H2'
_cell_length_a 3.890
_cell_length_b 3.890
_cell_length_c 9.985
_cell_angle_alpha 90.00
_cell_angle_beta 90.00
_cell_angle_gamma 90.00
_space_group_name_H-M_alt 'P 4/n m m'
_space_group_IT_number 129
loop_
_space_group_symop_operation_xyz
'x,y,z'
'-x,-y,-z'
'-y+1/2,x,z'
'y+1/2,-x,-z'
'-x+1/2,-y+1/2,z'
'x+1/2,y+1/2,-z'
'y,-x+1/2,z'
'-y,x+1/2,-z'
'x+1/2,-y,-z'
'-x+1/2,y,z'
'-y,-x,-z'
'y,x,z'
'-x,y+1/2,-z'
'x,-y+1/2,z'
'y+1/2,x+1/2,-z'
'-y+1/2,-x+1/2,z'
loop_
_atom_site_label
_atom_site_fract_x
_atom_site_fract_y
_atom_site_fract_z
Na1 0.250 0.250 0.113
Ca1 0.250 0.250 0.621
H1 0.250 0.750 0.500
```

Results
ΔE to the lowest computed polymorph: 0 meV/atom
V: 25.2 Å³ per atom


A geometry-optimized NaCa2H2 structure. Source: Alexandria via LeMat-Bulk, functional GGA-PBE.

Structure (CIF):
```
data_NaCa2H2
_chemical_formula_sum 'Na1 Ca2 H2'
_cell_length_a 3.629
_cell_length_b 3.629
_cell_length_c 8.901
_cell_angle_alpha 90.00
_cell_angle_beta 90.00
_cell_angle_gamma 90.00
_space_group_name_H-M_alt 'P 4/m m m'
_space_group_IT_number 123
_space_group_name_Hall '-P 4 2'
loop_
_atom_site_label
_atom_site_fract_x
_atom_site_fract_y
_atom_site_fract_z
Na1 0.000 0.000 0.000
Ca1 0.500 0.500 0.330
H1 0.000 0.500 0.500
```

Results
ΔE to the lowest computed polymorph: 157 meV/atom
V: 23.5 Å³ per atom


A geometry-optimized NaCaH structure. Source: Alexandria via LeMat-Bulk, functional GGA-PBE.

Structure (CIF):
```
data_NaCaH
_chemical_formula_sum 'Na1 Ca1 H1'
_cell_length_a 3.7130
_cell_length_b 3.7130
_cell_length_c 6.0745
_cell_angle_alpha 90.00
_cell_angle_beta 90.00
_cell_angle_gamma 120.00
_space_group_name_H-M_alt 'P 3 m 1'
_space_group_IT_number 156
loop_
_space_group_symop_operation_xyz
'x,y,z'
'-y,x-y,z'
'-x+y,-x,z'
'-y,-x,z'
'-x+y,y,z'
'x,x-y,z'
loop_
_atom_site_label
_atom_site_fract_x
_atom_site_fract_y
_atom_site_fract_z
Na1 0.0000 0.0000 0.0000
Ca1 0.6667 0.3333 0.5008
H1 0.3333 0.6667 0.6735
```

Results
ΔE to the lowest computed polymorph: 160 meV/atom
V: 24.2 Å³ per atom


A geometry-optimized NaCa3H structure. Source: Alexandria via LeMat-Bulk, functional GGA-PBE.

Structure (CIF):
```
data_NaCa3H
_chemical_formula_sum 'Na1 Ca3 H1'
_cell_length_a 5.311
_cell_length_b 5.311
_cell_length_c 5.311
_cell_angle_alpha 90.00
_cell_angle_beta 90.00
_cell_angle_gamma 90.00
_space_group_name_H-M_alt 'P m -3 m'
_space_group_IT_number 221
_space_group_name_Hall '-P 4 2 3'
loop_
_atom_site_label
_atom_site_fract_x
_atom_site_fract_y
_atom_site_fract_z
Na1 0.000 0.000 0.000
Ca1 0.000 0.500 0.500
H1 0.500 0.500 0.500
```

Results
ΔE to the lowest computed polymorph: 0 meV/atom
V: 30.0 Å³ per atom


A geometry-optimized NaCaH3 structure. Source: Alexandria via LeMat-Bulk, functional GGA-PBE.

Structure (CIF):
```
data_NaCaH3
_chemical_formula_sum 'Na2 Ca2 H6'
_cell_length_a 3.615
_cell_length_b 6.765
_cell_length_c 6.824
_cell_angle_alpha 117.20
_cell_angle_beta 99.80
_cell_angle_gamma 95.30
_space_group_name_H-M_alt 'P -1'
_space_group_IT_number 2
loop_
_space_group_symop_operation_xyz
'x,y,z'
'-x,-y,-z'
loop_
_atom_site_label
_atom_site_fract_x
_atom_site_fract_y
_atom_site_fract_z
Na1 0.011 0.270 0.236
Ca1 0.370 0.249 0.710
H1 0.162 0.654 0.429
H2 0.178 0.983 0.314
H3 0.482 0.349 0.082
```

Results
ΔE to the lowest computed polymorph: 0 meV/atom
V: 14.4 Å³ per atom


A geometry-optimized Na2CaH2 structure. Source: Alexandria via LeMat-Bulk, functional GGA-PBE.

Structure (CIF):
```
data_Na2CaH2
_chemical_formula_sum 'Na4 Ca2 H4'
_cell_length_a 4.222
_cell_length_b 4.222
_cell_length_c 11.392
_cell_angle_alpha 90.00
_cell_angle_beta 90.00
_cell_angle_gamma 90.00
_space_group_name_H-M_alt 'I 4/m m m'
_space_group_IT_number 139
_space_group_name_Hall '-I 4 2'
loop_
_atom_site_label
_atom_site_fract_x
_atom_site_fract_y
_atom_site_fract_z
Na1 0.000 0.000 0.179
Ca1 0.000 0.000 0.500
H1 0.000 0.500 0.250
```

Results
V: 20.3 Å³ per atom


A geometry-optimized NaCaH structure. Source: Alexandria via LeMat-Bulk, functional GGA-PBE.

Structure (CIF):
```
data_NaCaH
_chemical_formula_sum 'Na4 Ca4 H4'
_cell_length_a 6.688
_cell_length_b 3.860
_cell_length_c 12.055
_cell_angle_alpha 90.00
_cell_angle_beta 101.05
_cell_angle_gamma 90.00
_space_group_name_H-M_alt 'C 1 2/m 1'
_space_group_IT_number 12
loop_
_space_group_symop_operation_xyz
'x,y,z'
'-x,-y,-z'
'-x,y,-z'
'x,-y,z'
'x+1/2,y+1/2,z'
'-x+1/2,-y+1/2,-z'
'-x+1/2,y+1/2,-z'
'x+1/2,-y+1/2,z'
loop_
_atom_site_label
_atom_site_fract_x
_atom_site_fract_y
_atom_site_fract_z
Na1 0.206 0.000 0.123
Ca1 0.125 0.500 0.381
H1 0.193 0.500 0.575
```

Results
ΔE to the lowest computed polymorph: 39 meV/atom
V: 25.5 Å³ per atom


Number 1: total DFT energy (no corrections) -3.001 eV per atom. Number 2: total DFT energy (no corrections) -3.037 eV per atom. Number 3: total DFT energy (no corrections) -2.834 eV per atom. Number 4: total DFT energy (no corrections) -2.834 eV per atom. Number 5: total DFT energy (no corrections) -2.968 eV per atom. Number 6: total DFT energy (no corrections) -2.491 eV per atom. Number 7: total DFT energy (no corrections) -2.552 eV per atom. Number 8: total DFT energy (no corrections) -2.331 eV per atom. Number 9: total DFT energy (no corrections) -2.202 eV per atom. Number 10: total DFT energy (no corrections) -3.043 eV per atom. Number 11: total DFT energy (no corrections) -2.209 eV per atom. Number 12: total DFT energy (no corrections) -2.453 eV per atom.